Entry 1:
# RbCa2Np2O7

A relaxed structure of RbCa2Np2O7 (PBE, Alexandria).

Properties
DFT total energy	-8.29	eV per atom
magnetic moment	10.00	μB/cell
Fermi-level density of states	12.07	states/eV/f.u.
ρ	6.4	Mg/m³

The structure in CIF format:
```
data_RbCa2Np2O7
_symmetry_space_group_name_H-M 'I 4/m m m'
_symmetry_Int_Tables_number 139
_symmetry_space_group_name_Hall '-I 4 2'
_cell_length_a 4.474
_cell_length_b 4.474
_cell_length_c 19.394
_cell_angle_alpha 90.00
_cell_angle_beta 90.00
_cell_angle_gamma 90.00
loop_
_atom_site_label
_atom_site_type_symbol
_atom_site_fract_x
_atom_site_fract_y
_atom_site_fract_z
Rb1 Rb 0.000 0.000 0.000
Ca1 Ca 0.000 0.500 0.250
Np1 Np 0.000 0.000 0.389
O1 O 0.000 0.000 0.276
O2 O 0.000 0.000 0.500
O3 O 0.000 0.500 0.122
```

Entry 2:
# Y3ScN

A relaxed structure of Y3ScN (PBE, Alexandria).

Properties
DFT total energy	-7.37	eV per atom
magnetic moment	0.00	μB/cell
Fermi-level density of states	6.86	states/eV/f.u.
ρ	4.6	Mg/m³

The structure in CIF format:
```
data_Y3ScN
_symmetry_space_group_name_H-M 'P m -3 m'
_symmetry_Int_Tables_number 221
_symmetry_space_group_name_Hall '-P 4 2 3'
_cell_length_a 4.912
_cell_length_b 4.912
_cell_length_c 4.912
_cell_angle_alpha 90.00
_cell_angle_beta 90.00
_cell_angle_gamma 90.00
loop_
_atom_site_label
_atom_site_type_symbol
_atom_site_fract_x
_atom_site_fract_y
_atom_site_fract_z
Y1 Y 0.000 0.000 0.500
Sc1 Sc 0.500 0.500 0.500
N1 N 0.000 0.000 0.000
```

Entry 3:
# KZn2InCo

A relaxed structure of KZn2InCo (PBE, Alexandria).

Properties
formation energy	1346	meV/atom
magnetic moment	1.72	μB/cell
Fermi-level density of states	8.93	states/eV/f.u.
ρ	3.2	Mg/m³

The structure in CIF format:
```
data_KZn2InCo
_symmetry_space_group_name_H-M 'P 4/m m m'
_symmetry_Int_Tables_number 123
_symmetry_space_group_name_Hall '-P 4 2'
_cell_length_a 5.674
_cell_length_b 5.674
_cell_length_c 5.516
_cell_angle_alpha 90.00
_cell_angle_beta 90.00
_cell_angle_gamma 90.00
loop_
_atom_site_label
_atom_site_type_symbol
_atom_site_fract_x
_atom_site_fract_y
_atom_site_fract_z
K1 K 0.000 0.000 0.000
Zn1 Zn 0.000 0.500 0.000
In1 In 0.500 0.500 0.500
Co1 Co 0.000 0.000 0.500
```

Entry 4:
# Ta2Ga2Cu

A relaxed structure of Ta2Ga2Cu (PBE, Alexandria).

Properties
formation energy	-11	meV/atom
magnetic moment	0.00	μB/cell
Fermi-level density of states	2.29	states/eV/f.u.
ρ	11.8	Mg/m³

The structure in CIF format:
```
data_Ta2Ga2Cu
_symmetry_space_group_name_H-M 'P 4/m b m'
_symmetry_Int_Tables_number 127
_symmetry_space_group_name_Hall '-P 4 2ab'
_cell_length_a 6.333
_cell_length_b 6.333
_cell_length_c 3.953
_cell_angle_alpha 90.00
_cell_angle_beta 90.00
_cell_angle_gamma 90.00
loop_
_atom_site_label
_atom_site_type_symbol
_atom_site_fract_x
_atom_site_fract_y
_atom_site_fract_z
Ta1 Ta 0.172 0.328 0.000
Ga1 Ga 0.135 0.635 0.500
Cu1 Cu 0.000 0.000 0.500
```

Entry 5:
# BiSBr2

A relaxed structure of BiSBr2 (PBE, Alexandria).

Properties
DFT total energy	-2.58	eV per atom
magnetic moment	4.00	μB/cell
Fermi-level density of states	2.20	states/eV/f.u.
ρ	6.7	Mg/m³

The structure in CIF format:
```
data_BiSBr2
_symmetry_space_group_name_H-M 'F m -3 m'
_symmetry_Int_Tables_number 225
_symmetry_space_group_name_Hall '-F 4 2 3'
_cell_length_a 7.335
_cell_length_b 7.335
_cell_length_c 7.335
_cell_angle_alpha 90.00
_cell_angle_beta 90.00
_cell_angle_gamma 90.00
loop_
_atom_site_label
_atom_site_type_symbol
_atom_site_fract_x
_atom_site_fract_y
_atom_site_fract_z
Bi1 Bi 0.000 0.000 0.000
S1 S 0.000 0.000 0.500
Br1 Br 0.250 0.250 0.250
```

Entry 6:
# Sr2TcSb

A relaxed structure of Sr2TcSb (PBE, Alexandria).

Properties
DFT total energy	-4.47	eV per atom
magnetic moment	0.00	μB/cell
Fermi-level density of states	2.87	states/eV/f.u.
ρ	5.4	Mg/m³

The structure in CIF format:
```
data_Sr2TcSb
_symmetry_space_group_name_H-M 'P 4 m m'
_symmetry_Int_Tables_number 99
_symmetry_space_group_name_Hall 'P 4 -2'
_cell_length_a 3.607
_cell_length_b 3.607
_cell_length_c 9.269
_cell_angle_alpha 90.00
_cell_angle_beta 90.00
_cell_angle_gamma 90.00
loop_
_atom_site_label
_atom_site_type_symbol
_atom_site_fract_x
_atom_site_fract_y
_atom_site_fract_z
Sr1 Sr 0.000 0.000 0.000
Sr2 Sr 0.500 0.500 0.397
Tc1 Tc 0.000 0.000 0.637
Sb1 Sb 0.500 0.500 0.755
```

Entry 7:
# Sm2Sn3Hg2

A relaxed structure of Sm2Sn3Hg2 (PBE, Alexandria).

Properties
formation energy	-443	meV/atom
magnetic moment	0.00	μB/cell
Fermi-level density of states	4.19	states/eV/f.u.
ρ	9.5	Mg/m³

The structure in CIF format:
```
data_Sm2Sn3Hg2
_symmetry_space_group_name_H-M 'C 1 2/m 1'
_symmetry_Int_Tables_number 12
_symmetry_space_group_name_Hall '-C 2y'
_cell_length_a 11.425
_cell_length_b 4.768
_cell_length_c 6.865
_cell_angle_alpha 90.00
_cell_angle_beta 97.90
_cell_angle_gamma 90.00
loop_
_atom_site_label
_atom_site_type_symbol
_atom_site_fract_x
_atom_site_fract_y
_atom_site_fract_z
Sm1 Sm 0.099 0.000 0.286
Sn1 Sn 0.000 0.500 0.000
Sn2 Sn 0.206 0.000 0.835
Hg1 Hg 0.117 0.500 0.606
```

Entry 8:
# Pu5ScTe6

A relaxed structure of Pu5ScTe6 (PBE, Alexandria).

Properties
DFT total energy	-9.16	eV per atom
magnetic moment	59.24	μB/cell
Fermi-level density of states	55.76	states/eV/f.u.
ρ	9.4	Mg/m³

The structure in CIF format:
```
data_Pu5ScTe6
_symmetry_space_group_name_H-M 'C 1 2/m 1'
_symmetry_Int_Tables_number 12
_symmetry_space_group_name_Hall '-C 2y'
_cell_length_a 7.611
_cell_length_b 13.163
_cell_length_c 7.610
_cell_angle_alpha 90.00
_cell_angle_beta 109.46
_cell_angle_gamma 90.00
loop_
_atom_site_label
_atom_site_type_symbol
_atom_site_fract_x
_atom_site_fract_y
_atom_site_fract_z
Pu1 Pu 0.000 0.000 0.000
Pu2 Pu 0.000 0.165 0.500
Pu3 Pu 0.000 0.328 0.000
Sc1 Sc 0.000 0.500 0.500
Te1 Te 0.240 0.500 0.252
Te2 Te 0.241 0.338 0.741
```